(1)
Entry from the Alexandria database: a relaxed structure of Ta2ReOs (PBE).

Geometry as POSCAR:
```
Ta2ReOs
1.0
5.7848 0.0000 0.0000
0.0000 5.7848 0.0000
2.8924 2.8924 5.9194
Re Ta Os
2 4 2
Direct
0.5000 0.5000 0.0000 Re
0.2500 0.7500 0.5000 Re
0.6288 0.1250 0.2500 Ta
0.3750 0.3712 0.7500 Ta
0.8750 0.8788 0.7500 Ta
0.1212 0.6250 0.2500 Ta
0.0000 0.0000 0.0000 Os
0.7500 0.2500 0.5000 Os
```

Output
Spin magnetization: 0.000 μB/atom
Raw total energy: -81.3 eV for the cell shown
Symmetry: I-42d, No. 122
Calculated density: 12.4 g/cm³

***

(2)
Entry from the Alexandria database: a relaxed structure of TaRe2Os (PBE).

Geometry as POSCAR:
```
TaRe2Os
1.0
-3.5587 2.9230 -1.7268
-4.3859 -1.2288 1.8557
4.3788 0.8980 2.0518
Re Os Ta
2 1 1
Direct
0.0000 0.0000 0.0000 Re
0.5000 0.5000 0.0000 Re
0.7500 0.2500 0.5000 Os
0.2500 0.7500 0.5000 Ta
```

Output
Spin magnetization: 0.000 μB/atom
Symmetry: I4/mmm, No. 139
ΔE to the lowest computed polymorph: 51 meV/atom
Calculated density: 19.8 g/cm³

***

(3)
Entry from the Alexandria database: a relaxed structure of Ta5ReOs4 (PBE).

Geometry as POSCAR:
```
Ta5ReOs4
1.0
3.1057 0.0000 0.0000
0.0000 3.1057 0.0000
0.0000 0.0000 16.8766
Os Ta Re
4 5 1
Direct
0.0000 0.0000 0.5988 Os
0.0000 0.0000 0.4012 Os
0.0000 0.0000 0.8059 Os
0.0000 0.0000 0.1941 Os
0.5000 0.5000 0.0964 Ta
0.5000 0.5000 0.5000 Ta
0.5000 0.5000 0.7024 Ta
0.5000 0.5000 0.9036 Ta
0.5000 0.5000 0.2976 Ta
0.0000 0.0000 0.0000 Re
```

Output
Spin magnetization: 0.000 μB/atom
Raw total energy: -119.4 eV for the cell shown
Symmetry: P4/mmm, No. 123
Calculated density: 18.9 g/cm³

***

(4)
Entry from the Alexandria database: a relaxed structure of TaRe2Os (PBE).

Geometry as POSCAR:
```
TaRe2Os
1.0
4.8474 -0.0127 0.0000
-1.6637 4.5530 0.0000
0.0000 0.0000 2.8272
Os Re Ta
1 2 1
Direct
0.0000 0.5000 0.5000 Os
0.5000 0.5000 0.0000 Re
0.0000 0.0000 0.0000 Re
0.5000 0.0000 0.5000 Ta
```

Output
Spin magnetization: 0.000 μB/atom
Symmetry: Cmmm, No. 65
ΔE to the lowest computed polymorph: 92 meV/atom
Calculated density: 19.8 g/cm³

***

(5)
Entry from the Alexandria database: a relaxed structure of Ta4ReOs3 (PBE).

Geometry as POSCAR:
```
Ta4ReOs3
1.0
3.1270 0.0000 0.0000
0.0000 4.5661 0.0000
0.0000 0.0000 9.1022
Os Re Ta
3 1 4
Direct
0.5000 0.0000 0.7497 Os
0.5000 0.5000 0.5000 Os
0.5000 0.0000 0.2503 Os
0.5000 0.5000 0.0000 Re
0.0000 0.0000 0.5000 Ta
0.0000 0.5000 0.2480 Ta
0.0000 0.5000 0.7520 Ta
0.0000 0.0000 0.0000 Ta
```

Output
Spin magnetization: 0.000 μB/atom
Raw total energy: -95.7 eV for the cell shown
Symmetry: Pmmm, No. 47
Calculated density: 18.9 g/cm³

***

(6)
Entry from the Alexandria database: a relaxed structure of TaRe2Os (PBE).

Geometry as POSCAR:
```
TaRe2Os
1.0
-2.9269 -2.7497 2.7393
-0.3231 -3.0951 3.7347
-0.9352 3.1690 3.5462
Re Ta Os
2 1 1
Direct
0.0025 0.0025 0.0021 Re
0.2588 0.2588 0.2325 Re
0.4970 0.4970 0.5063 Ta
0.7417 0.7417 0.7591 Os
```

Output
Spin magnetization: 0.000 μB/atom
Symmetry: Cm, No. 8
ΔE to the lowest computed polymorph: 44 meV/atom
Calculated density: 19.8 g/cm³

***

(7)
Entry from the Alexandria database: a relaxed structure of TaRe2Os (PBE).

Geometry as POSCAR:
```
TaRe2Os
1.0
4.2762 0.0000 0.0000
0.0000 2.7616 -0.0094
0.0000 1.4491 5.2914
Ta Re Os
1 2 1
Direct
0.0000 0.4898 0.5034 Ta
0.0000 0.0176 0.0073 Re
0.5000 0.3250 0.2430 Re
0.5000 0.6675 0.7463 Os
```

Output
Spin magnetization: 0.000 μB/atom
Symmetry: Pm, No. 6
ΔE to the lowest computed polymorph: 79 meV/atom
Calculated density: 19.7 g/cm³

***

(8)
Entry from the Alexandria database: a relaxed structure of TaRe2Os (PBE).

Geometry as POSCAR:
```
TaRe2Os
1.0
-4.2642 1.6447 1.6386
0.1191 0.2408 4.8478
3.0288 1.6902 -3.3975
Re Os Ta
2 1 1
Direct
0.2500 0.7500 0.5000 Re
0.0000 0.0000 0.0000 Re
0.7500 0.2500 0.5000 Os
0.5000 0.5000 0.0000 Ta
```

Output
Spin magnetization: 0.000 μB/atom
Symmetry: I-4m2, No. 119
ΔE to the lowest computed polymorph: 30 meV/atom
Calculated density: 19.8 g/cm³

***

(9)
Entry from the Alexandria database: a relaxed structure of TaRe2Os (PBE).

Geometry as POSCAR:
```
TaRe2Os
1.0
-1.7897 -0.3179 -4.8987
1.7788 -3.9646 -2.9017
-2.5644 1.3106 4.3598
Re Ta Os
2 1 1
Direct
0.9942 0.9942 0.0000 Re
0.7429 0.2429 0.5000 Re
0.5031 0.5031 0.0000 Ta
0.2597 0.7597 0.5000 Os
```

Output
Spin magnetization: 0.000 μB/atom
Symmetry: Imm2, No. 44
ΔE to the lowest computed polymorph: 90 meV/atom
Calculated density: 19.7 g/cm³

***

(10)
Entry from the Alexandria database: a relaxed structure of TaReTeOs2 (PBE).

Geometry as POSCAR:
```
TaReTeOs2
1.0
4.7126 0.0000 0.0000
0.0000 4.7608 0.0000
0.0000 0.0000 4.7126
Re Ta Os Te
1 1 2 1
Direct
0.0000 0.5000 0.0000 Re
0.5000 0.5000 0.5000 Ta
0.0000 0.0000 0.5000 Os
0.5000 0.0000 0.0000 Os
0.0000 0.0000 0.0000 Te
```

Output
Formation energy from raw total energies: 2.4399 eV per atom
Spin magnetization: 0.000 μB/atom
Symmetry: P4/mmm, No. 123
Calculated density: 13.7 g/cm³

***

(11)
Entry from the Alexandria database: a relaxed structure of TaTiReOs (PBE).

Geometry as POSCAR:
```
TaTiReOs
1.0
-3.5162 1.0969 -2.5111
-4.1309 -0.6149 1.5588
-2.5140 3.5138 1.0982
Ti Os Re Ta
1 1 1 1
Direct
0.2500 0.2500 0.2500 Ti
0.5000 0.5000 0.5000 Os
0.0000 0.0000 0.0000 Re
0.7500 0.7500 0.7500 Ta
```

Output
Spin magnetization: 0.000 μB/atom
Symmetry: F-43m, No. 216
ΔE to the lowest computed polymorph: 0 meV/atom
Calculated density: 16.0 g/cm³

***

(12)
Entry from the Alexandria database: a relaxed structure of TaTiReOs (PBE).

Geometry as POSCAR:
```
TaTiReOs
1.0
3.1532 0.0000 0.0000
0.0000 3.1532 0.0000
0.0000 0.0000 6.2919
Ti Os Ta Re
1 1 1 1
Direct
0.0000 0.0000 0.3546 Ti
0.5000 0.5000 0.6027 Os
0.0000 0.0000 0.8595 Ta
0.5000 0.5000 0.1112 Re
```

Output
Spin magnetization: 0.000 μB/atom
Symmetry: P4mm, No. 99
ΔE to the lowest computed polymorph: 13 meV/atom
Calculated density: 16.1 g/cm³

***

Question: Which of these has the lowest calculated density?
Answer: Ta2ReOs

***

Copy entry 5 word for word.
Entry from the Alexandria database: a relaxed structure of Ta4ReOs3 (PBE).

Geometry as POSCAR:
```
Ta4ReOs3
1.0
3.1270 0.0000 0.0000
0.0000 4.5661 0.0000
0.0000 0.0000 9.1022
Os Re Ta
3 1 4
Direct
0.5000 0.0000 0.7497 Os
0.5000 0.5000 0.5000 Os
0.5000 0.0000 0.2503 Os
0.5000 0.5000 0.0000 Re
0.0000 0.0000 0.5000 Ta
0.0000 0.5000 0.2480 Ta
0.0000 0.5000 0.7520 Ta
0.0000 0.0000 0.0000 Ta
```

Output
Spin magnetization: 0.000 μB/atom
Raw total energy: -95.7 eV for the cell shown
Symmetry: Pmmm, No. 47
Calculated density: 18.9 g/cm³

***

Question: Which formula does entry 4 have?
Answer: TaRe2Os

***

Question: spin magnetization of number 3 (Ta5ReOs4)?
Answer: 0.000 μB/atom